1.
A plane-wave DFT calculation with PBE-GGA was carried out for an optimized crystal structure of CaLaNd2Co.

Lattice parameters (Å, degrees): 5.5822 5.5822 5.3957 90.00 90.00 90.00
Space group P4/mmm (No. 123)
Inequivalent atoms, fractional coordinates:
1 Ca 0.0000 0.0000 0.0000
2 La 0.5000 0.5000 0.0000
3 Nd 0.0000 0.5000 0.5000
4 Co 0.5000 0.5000 0.5000

Fermi-level density of states	1.322	states/eV per atom
magnetic moment	0.0	Bohr magnetons per cell
energy of formation from the pure elements	-7	meV/atom



2.
A plane-wave DFT calculation with PBE-GGA was carried out for an optimized crystal structure of CaLa2NdCo.

Lattice parameters (Å, degrees): 5.4572 5.4572 5.7002 90.00 90.00 90.00
Space group P4/mmm (No. 123)
Inequivalent atoms, fractional coordinates:
1 Ca 0.0000 0.0000 0.0000
2 La 0.0000 0.5000 0.5000
3 Nd 0.5000 0.5000 0.0000
4 Co 0.5000 0.5000 0.5000

Fermi-level density of states	1.327	states/eV per atom
magnetic moment	0.0	Bohr magnetons per cell
energy of formation from the pure elements	-30	meV/atom